Entry 1:
{
  "formula": "Ba2Ga7Pt",
  "functional": "PBE",
  "state": "relaxed",
  "cell": [[4.5760, 0.0000, 0.0000], [0.0000, 4.5760, 0.0000], [0.0000, 0.0000, 10.8565]],
  "species": ["Ba", "Ba", "Ga", "Ga", "Ga", "Ga", "Ga", "Ga", "Ga", "Pt"],
  "fractional_positions": [[0.0000, 0.5000, 0.2469], [0.5000, 0.0000, 0.7531], [0.0000, 0.0000, 0.0000], [0.0000, 0.0000, 0.5000], [0.0000, 0.5000, 0.6321], [0.0000, 0.5000, 0.8817], [0.5000, 0.0000, 0.1183], [0.5000, 0.0000, 0.3679], [0.5000, 0.5000, 0.5000], [0.5000, 0.5000, 0.0000]],
  "dos_at_fermi_per_ev_cell": 4.04,
  "vol_a3_per_cell": 227.3,
  "energy_ev_per_atom": -3.62,
  "sg": "P-4m2 (115)",
  "ef_mev_per_atom": -514
}

---

Entry 2:
{
  "formula": "Ba2Ga4Pt3",
  "functional": "PBE",
  "state": "relaxed",
  "cell": [[0.0000, 5.0824, 7.0742], [2.9131, 0.0000, 7.0742], [2.9131, 5.0824, 0.0000]],
  "species": ["Ba", "Ba", "Ga", "Ga", "Ga", "Ga", "Pt", "Pt", "Pt"],
  "fractional_positions": [[0.1371, 0.1371, 0.8629], [0.8629, 0.8629, 0.1371], [0.1867, 0.5274, 0.4726], [0.4726, 0.8133, 0.1867], [0.5274, 0.1867, 0.8133], [0.8133, 0.4726, 0.5274], [0.0000, 0.0000, 0.5000], [0.5000, 0.5000, 0.0000], [0.5000, 0.5000, 0.5000]],
  "dos_at_fermi_per_ev_cell": 1.49,
  "vol_a3_per_cell": 209.5,
  "energy_ev_per_atom": -4.40,
  "sg": "Fmmm (69)",
  "ef_mev_per_atom": -612
}

---

Entry 3:
{
  "formula": "Ba2Ga2Pt",
  "functional": "PBE",
  "state": "relaxed",
  "cell": [[7.1141, 0.0000, 0.0000], [0.0000, 7.1141, 0.0000], [0.0000, 0.0000, 5.3125]],
  "species": ["Ba", "Ba", "Ba", "Ba", "Ga", "Ga", "Ga", "Ga", "Pt", "Pt"],
  "fractional_positions": [[0.1831, 0.3169, 0.0000], [0.3169, 0.8169, 0.0000], [0.6831, 0.1831, 0.0000], [0.8169, 0.6831, 0.0000], [0.1332, 0.6332, 0.5000], [0.3668, 0.1332, 0.5000], [0.6332, 0.8668, 0.5000], [0.8668, 0.3668, 0.5000], [0.0000, 0.0000, 0.5000], [0.5000, 0.5000, 0.5000]],
  "dos_at_fermi_per_ev_cell": 6.16,
  "vol_a3_per_cell": 268.9,
  "de_polymorph_mev_per_atom": 154,
  "energy_ev_per_atom": -3.56,
  "sg": "P4/mbm (127)",
  "ef_mev_per_atom": -370
}

---

Entry 4:
{
  "formula": "Ba2GaPt",
  "functional": "PBE",
  "state": "relaxed",
  "cell": [[4.0203, 0.0000, 0.0000], [0.0000, 4.0203, 0.0000], [0.0000, 0.0000, 7.7753]],
  "species": ["Ba", "Ba", "Ga", "Pt"],
  "fractional_positions": [[0.0000, 0.0000, 0.2340], [0.0000, 0.0000, 0.7660], [0.5000, 0.5000, 0.5000], [0.5000, 0.5000, 0.0000]],
  "dos_at_fermi_per_ev_cell": 3.13,
  "vol_a3_per_cell": 125.7,
  "energy_ev_per_atom": -3.68,
  "sg": "P4/mmm (123)",
  "ef_mev_per_atom": -454
}